# 1
The following is a DFT calculation (PBE-GGA) of an optimized crystal structure of PmIn2Au8.

## Properties
- SG = C2/m, No. 12
- volume (Å³ per atom) = 21.5
- excess energy over the best structure of this formula in the dataset (meV/atom) = 0
- ρ (kg/m3) = 13676
- magnetization (μB per formula unit) = 0.0
- energy of formation (eV/atom) = -0.29

Cell lengths 4.7691, 5.5620, 9.6811 Å; angles 106.69, 105.01, 90.00 degrees
Last column: nearest neighbours and their distance in Å.
Element x y z (fractional)
In1 0.2364 0.7393 0.4787  5 Au 2.81-3.00
In2 0.7636 0.2607 0.5213  5 Au 2.81-3.00
Pm1 0.0000 0.0000 0.0000  14 Au 3.13-3.25
Au1 0.1767 0.1764 0.3528  4 In 2.81-3.00, 4 Au 3.07-3.12
Au2 0.5991 0.8516 0.1925  4 Au 2.72-2.84
Au3 0.4009 0.1484 0.8075  4 Au 2.72-2.84
Au4 0.0834 0.5808 0.1617  5 Au 2.79-2.89, 1 In 2.83
Au5 0.8233 0.8236 0.6472  4 In 2.81-3.00, 4 Au 3.07-3.12
Au6 0.5991 0.3409 0.1925  4 Au 2.72-2.84
Au7 0.9166 0.4192 0.8383  5 Au 2.79-2.89, 1 In 2.83
Au8 0.4009 0.6591 0.8075  4 Au 2.72-2.84


# 2
The following is a DFT calculation (PBE-GGA) of an optimized crystal structure of Cr3AgSe.

## Properties
- SG = Pm-3m, No. 221
- energy relative to the elements, uncorrected (meV per atom) = 822
- volume (Å³ per atom) = 22.0
- excess energy over the best structure of this formula in the dataset (meV/atom) = 0
- ρ (kg/m3) = 5182
- magnetization (μB per formula unit) = 12.5

Cell lengths 4.7892, 4.7892, 4.7892 Å; angles 90.00, 90.00, 90.00 degrees
Last column: nearest neighbours and their distance in Å.
Element x y z (fractional)
Ag1 0.5000 0.5000 0.5000  12 Cr 3.39
Cr1 0.0000 0.0000 0.5000  2 Se 2.39
Cr2 0.5000 0.0000 0.0000  2 Se 2.39
Cr3 0.0000 0.5000 0.0000  2 Se 2.39
Se1 0.0000 0.0000 0.0000  6 Cr 2.39


# 3
The following is a DFT calculation (PBE-GGA) of an optimized crystal structure of DySnHgRh.

## Properties
- SG = F-43m, No. 216
- volume (Å³ per atom) = 21.3
- ρ (kg/m3) = 11420
- magnetization (μB per formula unit) = 0.0
- energy of formation (eV/atom) = -0.43

Cell lengths 4.9357, 4.9357, 4.9357 Å; angles 60.00, 60.00, 60.00 degrees
Last column: nearest neighbours and their distance in Å.
Element x y z (fractional)
Rh1 0.5000 0.5000 0.5000  4 Dy 3.02, 4 Sn 3.02
Sn1 0.2500 0.2500 0.2500  4 Hg 3.02, 4 Rh 3.02
Dy1 0.7500 0.7500 0.7500  4 Rh 3.02, 4 Hg 3.02
Hg1 0.0000 0.0000 0.0000  4 Sn 3.02, 4 Dy 3.02


# 4
The following is a DFT calculation (PBE-GGA) of an optimized crystal structure of CsMnAgCl6.

## Properties
- SG = P312, No. 149
- energy relative to the elements, uncorrected (meV per atom) = -1031
- volume (Å³ per atom) = 33.1
- ρ (kg/m3) = 2833
- magnetization (μB per formula unit) = 3.0

Cell lengths 6.8119, 6.8129, 7.4170 Å; angles 90.01, 90.00, 59.99 degrees
Last column: nearest neighbours and their distance in Å.
Element x y z (fractional)
Cl1 0.3510 0.0505 0.6799  1 Mn 2.30
Cl2 0.0504 0.5986 0.6800  1 Mn 2.30
Cl3 0.5985 0.3509 0.6800  1 Mn 2.30
Cl4 0.0504 0.3510 0.3200  1 Mn 2.30
Cl5 0.3509 0.5985 0.3201  1 Mn 2.30
Cl6 0.5985 0.0506 0.3200  1 Mn 2.30
Ag1 0.6666 0.6667 0.5000  6 Cl 2.76
Mn1 0.3334 0.3333 0.5000  6 Cl 2.30
Cs1 0.0000 0.0000 0.0000  6 Cl 3.51


# 5
The following is a DFT calculation (PBE-GGA) of an optimized crystal structure of HfTe2O6.

## Properties
- SG = C2/c, No. 15
- energy relative to the elements, uncorrected (meV per atom) = -1743
- volume (Å³ per atom) = 17.2
- ρ (kg/m3) = 5691
- magnetization (μB per formula unit) = 0.0

Cell lengths 5.5146, 7.5277, 7.5277 Å; angles 81.79, 91.36, 91.36 degrees
Last column: nearest neighbours and their distance in Å.
Element x y z (fractional)
O1 0.4843 0.0845 0.1333  2 Hf 2.08-2.14
O2 0.8341 0.8670 0.3706  1 Te 1.95, 1 Hf 2.07
O3 0.0157 0.8667 0.9155  2 Hf 2.08-2.14
O4 0.1659 0.1330 0.6294  1 Te 1.95, 1 Hf 2.07
O5 0.6659 0.6294 0.1330  1 Te 1.95, 1 Hf 2.07
O6 0.1209 0.6858 0.6257  2 Te 1.98
O7 0.8791 0.3142 0.3743  2 Te 1.98
O8 0.3341 0.3706 0.8670  1 Te 1.95, 1 Hf 2.07
O9 0.9843 0.1333 0.0845  2 Hf 2.08-2.14
O10 0.5157 0.9155 0.8667  2 Hf 2.08-2.14
O11 0.6209 0.6257 0.6858  2 Te 1.98
O12 0.3791 0.3743 0.3142  2 Te 1.98
Te1 0.3363 0.6319 0.8405  3 O 1.95-1.98
Te2 0.8363 0.8405 0.6319  3 O 1.95-1.98
Te3 0.1637 0.1595 0.3681  3 O 1.95-1.98
Te4 0.6637 0.3681 0.1595  3 O 1.95-1.98
Hf1 0.7500 0.9020 0.0980  6 O 2.07-2.14
Hf2 0.2500 0.0980 0.9020  6 O 2.07-2.14


# 6
The following is a DFT calculation (PBE-GGA) of an optimized crystal structure of RbHIO2.

## Properties
- SG = P4/mmm, No. 123
- volume (Å³ per atom) = 47.8
- excess energy over the best structure of this formula in the dataset (meV/atom) = 548
- ρ (kg/m3) = 1706
- magnetization (μB per formula unit) = 3.7

Cell lengths 5.6537, 5.6537, 7.4730 Å; angles 90.00, 90.00, 90.00 degrees
Last column: nearest neighbours and their distance in Å.
Element x y z (fractional)
I1 0.0000 0.0000 0.5000  2 Rb 3.74, 4 H 4.00
O1 0.0000 0.5000 0.0000  2 Rb 2.83
O2 0.5000 0.0000 0.0000  2 Rb 2.83
H1 0.5000 0.5000 0.5000  4 I 4.00
Rb1 0.0000 0.0000 0.0000  4 O 2.83


# 7
The following is a DFT calculation (PBE-GGA) of an optimized crystal structure of MnOsPt2.

## Properties
- SG = P4mm, No. 99
- volume (Å³ per atom) = 14.5
- ρ (kg/m3) = 18215
- magnetization (μB per formula unit) = 2.0
- energy of formation (eV/atom) = -0.05

Cell lengths 2.7395, 2.7395, 7.7174 Å; angles 90.00, 90.00, 90.00 degrees
Last column: nearest neighbours and their distance in Å.
Element x y z (fractional)
Pt1 0.5000 0.5000 0.2679  4 Mn 2.70, 8 Pt 2.74-2.89
Pt2 0.0000 0.0000 0.9907  8 Pt 2.74-2.89, 4 Os 2.79
Mn1 0.0000 0.0000 0.5111  4 Os 2.57, 4 Pt 2.70, 4 Mn 2.74
Os1 0.5000 0.5000 0.7303  4 Mn 2.57, 4 Os 2.74, 4 Pt 2.79


# 8
The following is a DFT calculation (PBE-GGA) of an optimized crystal structure of FeCuAgRh.

## Properties
- SG = F-43m, No. 216
- volume (Å³ per atom) = 14.2
- ρ (kg/m3) = 9645
- magnetization (μB per formula unit) = 3.8
- energy of formation (eV/atom) = 0.18

Cell lengths 4.3159, 4.3159, 4.3159 Å; angles 60.00, 60.00, 60.00 degrees
Last column: nearest neighbours and their distance in Å.
Element x y z (fractional)
Fe1 0.7500 0.7500 0.7500  4 Rh 2.64, 4 Ag 2.64
Ag1 0.5000 0.5000 0.5000  4 Fe 2.64, 4 Cu 2.64
Cu1 0.2500 0.2500 0.2500  4 Rh 2.64, 4 Ag 2.64
Rh1 0.0000 0.0000 0.0000  4 Fe 2.64, 4 Cu 2.64